Below is a relaxed structure of CuGe2S, with properties calculated at the GGA-PBE level.

Unit cell a=5.672 b=5.672 c=6.783 alpha=65.29 beta=65.29 gamma=90.00
Positions (direct):
Cu: 0.000 0.000 0.000
Cu: 0.750 0.250 0.500
S: 0.500 0.500 0.000
S: 0.250 0.750 0.500
Ge: 0.375 0.355 0.750
Ge: 0.645 0.125 0.250
Ge: 0.875 0.895 0.750
Ge: 0.105 0.625 0.250


Below is a relaxed structure of Cu4GeS5, with properties calculated at the GGA-PBE level.

Unit cell a=4.933 b=6.084 c=6.084 alpha=80.54 beta=66.08 gamma=66.08
Positions (direct):
S: 0.699 0.211 0.392
S: 0.091 0.608 0.211
S: 0.303 0.789 0.608
S: 0.911 0.392 0.789
S: 0.501 0.000 0.000
Cu: 0.798 0.812 0.595
Cu: 0.609 0.595 0.188
Cu: 0.204 0.188 0.405
Cu: 0.393 0.405 0.812
Ge: 0.001 0.000 0.000


Below is a relaxed structure of CuGeSeS, with properties calculated at the GGA-PBE level.

Unit cell a=3.904 b=3.904 c=6.611 alpha=90.16 beta=113.26 gamma=109.07
Positions (direct):
Cu: 0.211 0.977 0.188
Se: 0.500 0.588 0.088
S: 0.456 0.115 0.572
Ge: 0.162 0.521 0.683


Below is a relaxed structure of Sm3CuGeS7, with properties calculated at the GGA-PBE level.

Unit cell a=10.086 b=10.086 c=5.849 alpha=90.00 beta=90.00 gamma=120.00
Positions (direct):
Ge: 0.667 0.333 0.826
Ge: 0.333 0.667 0.326
S: 0.898 0.480 0.984
S: 0.418 0.898 0.484
S: 0.480 0.582 0.484
S: 0.333 0.667 0.950
S: 0.161 0.255 0.218
S: 0.745 0.906 0.218
S: 0.667 0.333 0.450
S: 0.520 0.418 0.984
S: 0.255 0.094 0.718
S: 0.906 0.161 0.718
S: 0.102 0.520 0.484
S: 0.839 0.745 0.718
S: 0.094 0.839 0.218
S: 0.582 0.102 0.984
Sm: 0.871 0.227 0.244
Sm: 0.227 0.357 0.744
Sm: 0.643 0.871 0.744
Sm: 0.129 0.773 0.744
Sm: 0.357 0.129 0.244
Sm: 0.773 0.643 0.244
Cu: 0.000 0.000 0.704
Cu: 0.000 0.000 0.204


Below is a relaxed structure of CuSnGe2S6, with properties calculated at the GGA-PBE level.

Unit cell a=6.735 b=8.596 c=8.596 alpha=85.83 beta=75.42 gamma=75.42
Positions (direct):
Ge: 0.719 0.229 0.383
Ge: 0.281 0.771 0.617
Ge: 0.781 0.617 0.771
Ge: 0.219 0.383 0.229
Cu: 0.750 0.784 0.216
Cu: 0.250 0.216 0.784
S: 0.994 0.299 0.443
S: 0.922 0.380 0.877
S: 0.506 0.557 0.701
S: 0.422 0.877 0.380
S: 0.578 0.123 0.620
S: 0.078 0.620 0.123
S: 0.337 0.187 0.040
S: 0.163 0.960 0.813
S: 0.663 0.813 0.960
S: 0.494 0.443 0.299
S: 0.837 0.040 0.187
S: 0.006 0.701 0.557
Sn: 0.750 0.127 0.873
Sn: 0.250 0.873 0.127


Below is a relaxed structure of Sr2CuGeS5, with properties calculated at the GGA-PBE level.

Unit cell a=3.869 b=8.955 c=12.843 alpha=90.00 beta=90.00 gamma=102.48
Positions (direct):
S: 0.702 0.404 0.160
S: 0.523 0.045 0.278
S: 0.348 0.696 0.013
S: 0.477 0.955 0.778
S: 0.669 0.337 0.833
S: 0.331 0.663 0.333
S: 0.652 0.304 0.513
S: 0.298 0.596 0.660
S: 0.960 0.920 0.517
S: 0.040 0.080 0.017
Ge: 0.442 0.884 0.412
Ge: 0.558 0.116 0.912
Sr: 0.152 0.305 0.337
Sr: 0.103 0.205 0.675
Sr: 0.848 0.695 0.837
Sr: 0.897 0.795 0.175
Cu: 0.760 0.520 0.600
Cu: 0.240 0.480 0.100


Number 1: E_tot -4.22 eV/atom, formation energy without anion corrections 141 meV per atom. Number 2: E_tot -4.28 eV/atom, formation energy without anion corrections -111 meV per atom. Number 3: E_tot -4.23 eV/atom, formation energy without anion corrections -150 meV per atom. Number 4: E_tot -5.77 eV/atom, formation energy without anion corrections -1458 meV per atom. Number 5: E_tot -4.45 eV/atom, formation energy without anion corrections -238 meV per atom. Number 6: E_tot -4.66 eV/atom, formation energy without anion corrections -1022 meV per atom.